# Li4FeTe2WO12 | Alexandria via LeMat-Bulk | GGA+U | relaxed
# Total DFT energy (no corrections), eV/cell: -118.082
data_Li4FeTe2WO12
_cell_length_a 5.200
_cell_length_b 5.508
_cell_length_c 7.521
_cell_angle_alpha 85.49
_cell_angle_beta 89.89
_cell_angle_gamma 90.00
_space_group_name_H-M_alt 'P 1'
_space_group_IT_number 1
loop_
_space_group_symop_operation_xyz
'x,y,z'
loop_
_atom_site_label
_atom_site_type_symbol
_atom_site_fract_x
_atom_site_fract_y
_atom_site_fract_z
Li1 Li 0.000 0.000 0.000
Li2 Li 0.006 0.020 0.541
Li3 Li 0.494 0.353 0.939
Li4 Li 0.510 0.465 0.531
Fe1 Fe 0.001 0.434 0.731
Te1 Te 0.003 0.427 0.230
Te2 Te 0.498 0.910 0.735
W1 W 0.503 0.914 0.237
O1 O 0.120 0.391 0.982
O2 O 0.197 0.082 0.294
O3 O 0.203 0.733 0.659
O4 O 0.314 0.209 0.672
O5 O 0.340 0.598 0.294
O6 O 0.373 0.912 0.986
O7 O 0.634 0.910 0.478
O8 O 0.668 0.601 0.782
O9 O 0.683 0.214 0.162
O10 O 0.798 0.093 0.788
O11 O 0.817 0.741 0.162
O12 O 0.883 0.396 0.479